# GGA-PBE PuCd2GaAu4, optimized geometry
data_PuCd2GaAu4
_chemical_formula_sum 'Pu1 Cd2 Ga1 Au4'
_cell_length_a 4.7449
_cell_length_b 4.7449
_cell_length_c 8.9638
_cell_angle_alpha 74.65
_cell_angle_beta 74.65
_cell_angle_gamma 60.00
_space_group_name_H-M_alt 'P 1'
_space_group_IT_number 1
_space_group_name_Hall 'P 1'
loop_
_atom_site_label
_atom_site_type_symbol
_atom_site_fract_x
_atom_site_fract_y
_atom_site_fract_z
Pu1 Pu 0.0000 0.0000 0.0000
Cd1 Cd 0.7514 0.7514 0.7459
Cd2 Cd 0.2486 0.2486 0.2541
Ga1 Ga 0.5000 0.5000 0.5000
Au1 Au 0.3900 0.3900 0.8299
Au2 Au 0.8707 0.8707 0.3878
Au3 Au 0.1293 0.1293 0.6122
Au4 Au 0.6100 0.6100 0.1701
# total energy: -4.261 eV/atom
# N(E_F): 17.63 states/eV per cell

=====

# GGA-PBE RbCd2GaAu2, optimized geometry
data_RbCd2GaAu2
_chemical_formula_sum 'Rb2 Cd4 Ga2 Au4'
_cell_length_a 4.4050
_cell_length_b 7.4943
_cell_length_c 9.8304
_cell_angle_alpha 90.00
_cell_angle_beta 90.00
_cell_angle_gamma 90.00
_space_group_name_H-M_alt 'P 1'
_space_group_IT_number 1
_space_group_name_Hall 'P 1'
loop_
_atom_site_label
_atom_site_type_symbol
_atom_site_fract_x
_atom_site_fract_y
_atom_site_fract_z
Rb1 Rb 0.0000 0.9916 0.4509
Rb2 Rb 0.0000 0.4916 0.5491
Cd1 Cd 0.5000 0.0101 0.0947
Cd2 Cd 0.0000 0.3618 0.1198
Cd3 Cd 0.5000 0.5101 0.9053
Cd4 Cd 0.0000 0.8618 0.8802
Ga1 Ga 0.5000 0.1394 0.7371
Ga2 Ga 0.5000 0.6394 0.2629
Au1 Au 0.0000 0.2478 0.8517
Au2 Au 0.5000 0.2950 0.2898
Au3 Au 0.0000 0.7478 0.1483
Au4 Au 0.5000 0.7950 0.7102
# total energy: -2.218 eV/atom
# N(E_F): 3.61 states/eV per cell

=====

# GGA-PBE RbCdGaAu3, optimized geometry
data_RbCdGaAu3
_chemical_formula_sum 'Rb2 Cd2 Ga2 Au6'
_cell_length_a 6.8118
_cell_length_b 7.4110
_cell_length_c 7.7550
_cell_angle_alpha 118.54
_cell_angle_beta 90.00
_cell_angle_gamma 90.00
_space_group_name_H-M_alt 'P 1'
_space_group_IT_number 1
_space_group_name_Hall 'P 1'
loop_
_atom_site_label
_atom_site_type_symbol
_atom_site_fract_x
_atom_site_fract_y
_atom_site_fract_z
Rb1 Rb 0.7500 0.2684 0.5367
Rb2 Rb 0.2500 0.7316 0.4633
Cd1 Cd 0.2500 0.0224 0.0448
Cd2 Cd 0.7500 0.9776 0.9552
Ga1 Ga 0.2500 0.4096 0.8191
Ga2 Ga 0.7500 0.5904 0.1809
Au1 Au 0.2500 0.2256 0.4512
Au2 Au 0.0000 0.2972 0.0000
Au3 Au 0.5000 0.7028 0.0000
Au4 Au 0.5000 0.2972 0.0000
Au5 Au 0.0000 0.7028 0.0000
Au6 Au 0.7500 0.7744 0.5488
# total energy: -2.664 eV/atom
# N(E_F): 2.63 states/eV per cell

=====

# GGA-PBE Rb2CdGaAu, optimized geometry
data_Rb2CdGaAu
_chemical_formula_sum 'Rb2 Cd1 Ga1 Au1'
_cell_length_a 6.8055
_cell_length_b 6.8055
_cell_length_c 4.8560
_cell_angle_alpha 90.00
_cell_angle_beta 90.00
_cell_angle_gamma 90.00
_space_group_name_H-M_alt 'P 1'
_space_group_IT_number 1
_space_group_name_Hall 'P 1'
loop_
_atom_site_label
_atom_site_type_symbol
_atom_site_fract_x
_atom_site_fract_y
_atom_site_fract_z
Au1 Au 0.0000 0.0000 0.0000
Ga1 Ga 0.0000 0.0000 0.5000
Rb1 Rb 0.0000 0.5000 0.0000
Rb2 Rb 0.5000 0.0000 0.0000
Cd1 Cd 0.5000 0.5000 0.5000
# total energy: -1.877 eV/atom
# N(E_F): 3.43 states/eV per cell

=====

# GGA-PBE RbCdGaAu2, optimized geometry
data_RbCdGaAu2
_chemical_formula_sum 'Rb1 Cd1 Ga1 Au2'
_cell_length_a 5.1161
_cell_length_b 5.1161
_cell_length_c 5.4569
_cell_angle_alpha 90.00
_cell_angle_beta 90.00
_cell_angle_gamma 90.00
_space_group_name_H-M_alt 'P 1'
_space_group_IT_number 1
_space_group_name_Hall 'P 1'
loop_
_atom_site_label
_atom_site_type_symbol
_atom_site_fract_x
_atom_site_fract_y
_atom_site_fract_z
Au1 Au 0.0000 0.5000 0.0000
Au2 Au 0.5000 0.0000 0.0000
Ga1 Ga 0.0000 0.0000 0.0000
Rb1 Rb 0.5000 0.5000 0.5000
Cd1 Cd 0.0000 0.0000 0.5000
# excess energy over the best structure of this formula in the dataset: 0.1136 eV/atom
# N(E_F): 1.01 states/eV per cell

=====

# GGA-PBE RbCdGa2Au2, optimized geometry
data_RbCdGa2Au2
_chemical_formula_sum 'Rb1 Cd1 Ga2 Au2'
_cell_length_a 4.5624
_cell_length_b 4.5624
_cell_length_c 8.4710
_cell_angle_alpha 90.00
_cell_angle_beta 90.00
_cell_angle_gamma 120.00
_space_group_name_H-M_alt 'P 1'
_space_group_IT_number 1
_space_group_name_Hall 'P 1'
loop_
_atom_site_label
_atom_site_type_symbol
_atom_site_fract_x
_atom_site_fract_y
_atom_site_fract_z
Rb1 Rb 0.0000 0.0000 0.0000
Cd1 Cd 0.0000 0.0000 0.5000
Ga1 Ga 0.6667 0.3333 0.6910
Ga2 Ga 0.3333 0.6667 0.3090
Au1 Au 0.6667 0.3333 0.3410
Au2 Au 0.3333 0.6667 0.6590
# total energy: -2.677 eV/atom
# N(E_F): 2.56 states/eV per cell

=====

# GGA-PBE RbCdGaAu2, optimized geometry
data_RbCdGaAu2
_chemical_formula_sum 'Rb1 Cd1 Ga1 Au2'
_cell_length_a 5.0226
_cell_length_b 5.0226
_cell_length_c 6.2687
_cell_angle_alpha 113.62
_cell_angle_beta 113.62
_cell_angle_gamma 90.00
_space_group_name_H-M_alt 'P 1'
_space_group_IT_number 1
_space_group_name_Hall 'P 1'
loop_
_atom_site_label
_atom_site_type_symbol
_atom_site_fract_x
_atom_site_fract_y
_atom_site_fract_z
Rb1 Rb 0.4986 0.4986 0.9971
Cd1 Cd 0.8740 0.8740 0.7479
Ga1 Ga 0.1550 0.1550 0.3099
Au1 Au 0.7363 0.2363 0.4725
Au2 Au 0.2363 0.7363 0.4725
# excess energy over the best structure of this formula in the dataset: 0.0000 eV/atom
# N(E_F): 2.25 states/eV per cell

=====

# GGA-PBE RbCdGaAu, optimized geometry
data_RbCdGaAu
_chemical_formula_sum 'Rb1 Cd1 Ga1 Au1'
_cell_length_a 4.7046
_cell_length_b 4.7046
_cell_length_c 7.0544
_cell_angle_alpha 70.52
_cell_angle_beta 70.52
_cell_angle_gamma 60.00
_space_group_name_H-M_alt 'P 1'
_space_group_IT_number 1
_space_group_name_Hall 'P 1'
loop_
_atom_site_label
_atom_site_type_symbol
_atom_site_fract_x
_atom_site_fract_y
_atom_site_fract_z
Rb1 Rb 0.8138 0.8138 0.5587
Cd1 Cd 0.0025 0.0025 0.9924
Ga1 Ga 0.6173 0.6173 0.1481
Au1 Au 0.2923 0.2923 0.1232
# total energy: -2.232 eV/atom
# N(E_F): 1.67 states/eV per cell

=====

Repeat the first record exactly.
# GGA-PBE PuCd2GaAu4, optimized geometry
data_PuCd2GaAu4
_chemical_formula_sum 'Pu1 Cd2 Ga1 Au4'
_cell_length_a 4.7449
_cell_length_b 4.7449
_cell_length_c 8.9638
_cell_angle_alpha 74.65
_cell_angle_beta 74.65
_cell_angle_gamma 60.00
_space_group_name_H-M_alt 'P 1'
_space_group_IT_number 1
_space_group_name_Hall 'P 1'
loop_
_atom_site_label
_atom_site_type_symbol
_atom_site_fract_x
_atom_site_fract_y
_atom_site_fract_z
Pu1 Pu 0.0000 0.0000 0.0000
Cd1 Cd 0.7514 0.7514 0.7459
Cd2 Cd 0.2486 0.2486 0.2541
Ga1 Ga 0.5000 0.5000 0.5000
Au1 Au 0.3900 0.3900 0.8299
Au2 Au 0.8707 0.8707 0.3878
Au3 Au 0.1293 0.1293 0.6122
Au4 Au 0.6100 0.6100 0.1701
# total energy: -4.261 eV/atom
# N(E_F): 17.63 states/eV per cell